[1]
NaMg2TiRe | GGA-PBEsol | relaxed Values from VASP.

space-group type	No. 123
energy relative to the elements	11.1	eV per formula unit

Quantum ESPRESSO input file:
```
&SYSTEM
  ibrav = 0, nat = 5, ntyp = 4
/
ATOMIC_SPECIES
Na 22.99 Na.upf
Mg 24.30 Mg.upf
Ti 47.87 Ti.upf
Re 186.21 Re.upf
ATOMIC_POSITIONS crystal
Na 0.000 0.000 0.000
Mg 0.000 0.500 0.500
Mg 0.500 0.000 0.500
Ti 0.000 0.000 0.500
Re 0.500 0.500 0.000
CELL_PARAMETERS angstrom
4.931 0.000 0.000
0.000 4.931 0.000
0.000 0.000 4.665
```


[2]
Ba2PAu | GGA-PBEsol | relaxed Values from VASP.

space-group type	No. 8
energy relative to the elements	-3.2	eV per formula unit

Quantum ESPRESSO input file:
```
&SYSTEM
  ibrav = 0, nat = 4, ntyp = 3
/
ATOMIC_SPECIES
Ba 137.33 Ba.upf
P 30.97 P.upf
Au 196.97 Au.upf
ATOMIC_POSITIONS crystal
Ba 0.000 0.000 0.000
Ba 0.728 0.728 0.502
P 0.437 0.437 0.500
Au 0.291 0.291 0.003
CELL_PARAMETERS angstrom
5.934 -2.231 0.000
5.934 2.231 0.000
-0.007 0.000 4.622
```


[3]
BaBe2Tl | GGA-PBEsol | relaxed Values from VASP.

space-group type	No. 65
energy relative to the elements	2.2	eV per formula unit

Quantum ESPRESSO input file:
```
&SYSTEM
  ibrav = 0, nat = 4, ntyp = 3
/
ATOMIC_SPECIES
Ba 137.33 Ba.upf
Be 9.01 Be.upf
Tl 204.38 Tl.upf
ATOMIC_POSITIONS crystal
Ba 0.000 0.000 0.000
Be 0.500 0.500 0.338
Be 0.500 0.500 0.662
Tl 0.000 0.000 0.500
CELL_PARAMETERS angstrom
2.460 -2.542 0.000
2.460 2.542 0.000
0.000 0.000 7.168
```


[4]
TaTeRh | GGA-PBEsol | relaxed Values from VASP.

space-group type	No. 107
electronic total energy	-8.11	eV per atom

Quantum ESPRESSO input file:
```
&SYSTEM
  ibrav = 0, nat = 3, ntyp = 3
/
ATOMIC_SPECIES
Ta 180.95 Ta.upf
Te 127.60 Te.upf
Rh 102.91 Rh.upf
ATOMIC_POSITIONS crystal
Ta 0.000 0.000 0.000
Te 0.678 0.678 0.000
Rh 0.359 0.359 0.000
CELL_PARAMETERS angstrom
-1.559 1.559 5.543
1.559 -1.559 5.543
1.559 1.559 -5.543
```